Entry 1:
TeCl | GGA-PBEsol | optimized geometry

Structure (CIF):
```
data_TeCl
_chemical_formula_sum 'Te1 Cl1'
_space_group_name_H-M_alt 'P -6 m 2'
_space_group_IT_number 187
_space_group_name_Hall 'P -6 2'
_cell_length_a 3.3152
_cell_length_b 3.3152
_cell_length_c 4.8054
_cell_angle_alpha 90.00
_cell_angle_beta 90.00
_cell_angle_gamma 120.00
loop_
_atom_site_label
_atom_site_type_symbol
_atom_site_fract_x
_atom_site_fract_y
_atom_site_fract_z
Te1 Te 0.0000 0.0000 0.0000
Cl1 Cl 0.6667 0.3333 0.5000
```

Summary:
electronic total energy = -2.67 eV per atom
Fermi-level density of states = 0.843 states/eV per atom

Entry 2:
TeCl4 | GGA-PBEsol | optimized geometry

Structure (CIF):
```
data_TeCl4
_chemical_formula_sum 'Te2 Cl8'
_space_group_name_H-M_alt 'I 4/m'
_space_group_IT_number 87
_space_group_name_Hall '-I 4'
_cell_length_a 8.9252
_cell_length_b 8.9252
_cell_length_c 3.3305
_cell_angle_alpha 90.00
_cell_angle_beta 90.00
_cell_angle_gamma 90.00
loop_
_atom_site_label
_atom_site_type_symbol
_atom_site_fract_x
_atom_site_fract_y
_atom_site_fract_z
Te1 Te 0.0000 0.0000 0.0000
Cl1 Cl 0.0513 0.2354 0.5000
```

Summary:
electronic total energy = -2.60 eV per atom
Fermi-level density of states = 0.000 states/eV per atom
energy relative to the lowest polymorph listed for this composition = 301 meV per atom